Here is a geometry-optimized CsPrScS3 structure from Alexandria via LeMat-Bulk. Energies are from GGA-PBE.

The structure in POSCAR format:
```
CsPrScS3
1.0
-0.490 -4.179 -1.250
7.023 1.050 -6.265
3.904 -3.145 8.984
S Sc Cs Pr
6 2 2 2
direct
0.250 0.127 0.854
0.750 0.873 0.146
0.750 0.469 0.151
0.250 0.531 0.849
0.750 0.182 0.553
0.250 0.818 0.447
0.250 0.089 0.607
0.750 0.911 0.393
0.250 0.209 0.222
0.750 0.791 0.778
0.250 0.661 0.138
0.750 0.339 0.862
```

Formation energy without anion corrections in eV/atom: -1.70
Crystal system: monoclinic

***

Here is a geometry-optimized Cs2PrScS4 structure from Alexandria via LeMat-Bulk. Energies are from GGA-PBE.

The structure in POSCAR format:
```
Cs2PrScS4
1.0
8.706 0.010 -0.188
0.004 8.706 -0.188
-4.400 -4.404 6.351
S Sc Pr Cs
8 2 2 4
direct
0.235 0.265 0.056
0.765 0.735 0.556
0.765 0.735 0.944
0.753 0.316 0.535
0.816 0.253 0.035
0.235 0.265 0.444
0.247 0.684 0.465
0.184 0.747 0.965
0.000 0.000 0.000
0.500 0.500 0.500
0.000 0.500 0.500
0.000 0.500 0.000
0.000 0.000 0.500
0.500 0.500 0.000
0.500 0.000 0.500
0.500 0.000 0.000
```

Formation energy without anion corrections in eV/atom: -1.60
Crystal system: orthorhombic

***

formation energy without anion corrections of number 1 (CsPrScS3)? -1.70 eV/atom

***

formation energy without anion corrections of number 1 (CsPrScS3)? -1.70 eV/atom

***

What is the formation energy without anion corrections in the first record? -1.70 eV/atom

***

What did the second record say?
Here is a geometry-optimized Cs2PrScS4 structure from Alexandria via LeMat-Bulk. Energies are from GGA-PBE.

The structure in POSCAR format:
```
Cs2PrScS4
1.0
8.706 0.010 -0.188
0.004 8.706 -0.188
-4.400 -4.404 6.351
S Sc Pr Cs
8 2 2 4
direct
0.235 0.265 0.056
0.765 0.735 0.556
0.765 0.735 0.944
0.753 0.316 0.535
0.816 0.253 0.035
0.235 0.265 0.444
0.247 0.684 0.465
0.184 0.747 0.965
0.000 0.000 0.000
0.500 0.500 0.500
0.000 0.500 0.500
0.000 0.500 0.000
0.000 0.000 0.500
0.500 0.500 0.000
0.500 0.000 0.500
0.500 0.000 0.000
```

Formation energy without anion corrections in eV/atom: -1.60
Crystal system: orthorhombic